Entry 1:
Compound: Rb2In2Au
Source: Alexandria
Functional: meta-GGA SCAN
Structure: PBEsol geometry

**Calculated formation energy**: -1.04 eV per formula unit
**Total magnetic moment**: 0.0 μB per cell

Structure (CIF):
```
data_Rb2In2Au
_chemical_formula_sum 'Rb4 In4 Au2'
_cell_length_a 4.161
_cell_length_b 4.161
_cell_length_c 21.017
_cell_angle_alpha 90.00
_cell_angle_beta 90.00
_cell_angle_gamma 90.00
_symmetry_space_group_name_H-M 'I 4/m m m'
_symmetry_Int_Tables_number 139
_symmetry_space_group_name_Hall '-I 4 2'
loop_
_atom_site_label
_atom_site_fract_x
_atom_site_fract_y
_atom_site_fract_z
Rb1 0.000 0.000 0.092
In1 0.000 0.500 0.250
Au1 0.000 0.000 0.500
```



Entry 2:
Compound: LaZn2Cu
Source: Alexandria
Functional: meta-GGA SCAN
Structure: PBEsol geometry

**Calculated formation energy**: -1.22 eV per formula unit
**Total magnetic moment**: 0.0 μB per cell

Structure (CIF):
```
data_LaZn2Cu
_chemical_formula_sum 'La3 Zn6 Cu3'
_cell_length_a 4.2631
_cell_length_b 4.2631
_cell_length_c 14.8267
_cell_angle_alpha 90.00
_cell_angle_beta 90.00
_cell_angle_gamma 120.00
_symmetry_space_group_name_H-M 'R 3 m'
_symmetry_Int_Tables_number 160
_symmetry_space_group_name_Hall 'R 3 -2"'
loop_
_atom_site_label
_atom_site_fract_x
_atom_site_fract_y
_atom_site_fract_z
La1 0.0000 0.0000 0.0000
Zn1 0.0000 0.0000 0.5149
Zn2 0.0000 0.0000 0.7967
Cu1 0.0000 0.0000 0.1992
```



Entry 3:
Compound: CrMoBr2
Source: Alexandria
Functional: meta-GGA SCAN
Structure: PBEsol geometry

**Raw formation energy**: 0.647 eV/atom
**Energy relative to the lowest polymorph listed for this composition**: 463 meV/atom
**Total magnetic moment**: 2.0 μB per cell

Structure (CIF):
```
data_CrMoBr2
_chemical_formula_sum 'Cr1 Mo1 Br2'
_cell_length_a 4.558
_cell_length_b 4.558
_cell_length_c 3.244
_cell_angle_alpha 90.00
_cell_angle_beta 90.00
_cell_angle_gamma 90.00
_symmetry_space_group_name_H-M 'P 4/m m m'
_symmetry_Int_Tables_number 123
_symmetry_space_group_name_Hall '-P 4 2'
loop_
_atom_site_label
_atom_site_fract_x
_atom_site_fract_y
_atom_site_fract_z
Cr1 0.000 0.000 0.000
Mo1 0.500 0.500 0.000
Br1 0.000 0.500 0.500
```



Entry 4:
Compound: InGa2MoCl
Source: Alexandria
Functional: meta-GGA SCAN
Structure: PBEsol geometry

**Raw formation energy**: 1.058 eV/atom
**Total magnetic moment**: 3.9 μB per cell

Structure (CIF):
```
data_InGa2MoCl
_chemical_formula_sum 'In1 Ga2 Mo1 Cl1'
_cell_length_a 4.820
_cell_length_b 4.820
_cell_length_c 5.169
_cell_angle_alpha 90.00
_cell_angle_beta 90.00
_cell_angle_gamma 90.00
_symmetry_space_group_name_H-M 'P 4/m m m'
_symmetry_Int_Tables_number 123
_symmetry_space_group_name_Hall '-P 4 2'
loop_
_atom_site_label
_atom_site_fract_x
_atom_site_fract_y
_atom_site_fract_z
In1 0.000 0.000 0.000
Ga1 0.000 0.500 0.500
Mo1 0.500 0.500 0.000
Cl1 0.000 0.000 0.500
```



Entry 5:
Compound: ScAl3F
Source: Alexandria
Functional: meta-GGA SCAN
Structure: PBEsol geometry

**Raw formation energy**: 0.808 eV/atom
**Total magnetic moment**: 3.0 μB per cell

Structure (CIF):
```
data_ScAl3F
_chemical_formula_sum 'Sc1 Al3 F1'
_cell_length_a 5.384
_cell_length_b 5.384
_cell_length_c 5.384
_cell_angle_alpha 90.00
_cell_angle_beta 90.00
_cell_angle_gamma 90.00
_symmetry_space_group_name_H-M 'P m -3 m'
_symmetry_Int_Tables_number 221
_symmetry_space_group_name_Hall '-P 4 2 3'
loop_
_atom_site_label
_atom_site_fract_x
_atom_site_fract_y
_atom_site_fract_z
Sc1 0.000 0.000 0.000
Al1 0.000 0.000 0.500
F1 0.500 0.500 0.500
```



Entry 6:
Compound: RbGeAs2Se
Source: Alexandria
Functional: meta-GGA SCAN
Structure: PBEsol geometry

**Raw formation energy**: 1.752 eV/atom
**Energy relative to the lowest polymorph listed for this composition**: 1599 meV/atom
**Total magnetic moment**: 0.0 μB per cell

Structure (CIF):
```
data_RbGeAs2Se
_chemical_formula_sum 'Rb1 Ge1 As2 Se1'
_cell_length_a 5.396
_cell_length_b 5.396
_cell_length_c 5.493
_cell_angle_alpha 90.00
_cell_angle_beta 90.00
_cell_angle_gamma 90.00
_symmetry_space_group_name_H-M 'P 4/m m m'
_symmetry_Int_Tables_number 123
_symmetry_space_group_name_Hall '-P 4 2'
loop_
_atom_site_label
_atom_site_fract_x
_atom_site_fract_y
_atom_site_fract_z
Rb1 0.000 0.000 0.000
Ge1 0.500 0.500 0.500
As1 0.000 0.500 0.000
Se1 0.000 0.000 0.500
```



Entry 7:
Compound: YAl2Ir
Source: Alexandria
Functional: meta-GGA SCAN
Structure: PBEsol geometry

**Calculated formation energy**: -1.07 eV per formula unit
**Total magnetic moment**: 0.0 μB per cell

Structure (CIF):
```
data_YAl2Ir
_chemical_formula_sum 'Y2 Al4 Ir2'
_cell_length_a 5.540
_cell_length_b 8.963
_cell_length_c 2.910
_cell_angle_alpha 90.00
_cell_angle_beta 104.91
_cell_angle_gamma 90.00
_symmetry_space_group_name_H-M 'C 1 2/m 1'
_symmetry_Int_Tables_number 12
loop_
_symmetry_equiv_pos_as_xyz
'x,y,z'
'-x,-y,-z'
'-x,y,-z'
'x,-y,z'
'x+1/2,y+1/2,z'
'-x+1/2,-y+1/2,-z'
'-x+1/2,y+1/2,-z'
'x+1/2,-y+1/2,z'
loop_
_atom_site_label
_atom_site_fract_x
_atom_site_fract_y
_atom_site_fract_z
Y1 0.000 0.000 0.000
Al1 0.250 0.250 0.500
Ir1 0.000 0.500 0.000
```



Entry 8:
Compound: LiVOF3
Source: Alexandria
Functional: meta-GGA SCAN
Structure: PBEsol geometry

**Raw formation energy**: -2.996 eV/atom
**Energy relative to the lowest polymorph listed for this composition**: 34 meV/atom
**Total magnetic moment**: 4.0 μB per cell

Structure (CIF):
```
data_LiVOF3
_chemical_formula_sum 'Li4 V4 O4 F12'
_cell_length_a 7.768
_cell_length_b 4.977
_cell_length_c 7.199
_cell_angle_alpha 90.00
_cell_angle_beta 104.71
_cell_angle_gamma 90.00
_symmetry_space_group_name_H-M 'P 1 21/c 1'
_symmetry_Int_Tables_number 14
loop_
_symmetry_equiv_pos_as_xyz
'x,y,z'
'-x,-y,-z'
'-x,y+1/2,-z+1/2'
'x,-y+1/2,z+1/2'
loop_
_atom_site_label
_atom_site_fract_x
_atom_site_fract_y
_atom_site_fract_z
Li1 0.130 0.206 0.473
V1 0.347 0.732 0.727
O1 0.465 0.028 0.693
F1 0.121 0.615 0.115
F2 0.199 0.077 0.248
F3 0.322 0.609 0.465
```



Entry 9:
Compound: KReN3
Source: Alexandria
Functional: meta-GGA SCAN
Structure: PBEsol geometry

**Raw formation energy**: 0.215 eV/atom
**Total magnetic moment**: 0.0 μB per cell

Structure (CIF):
```
data_KReN3
_chemical_formula_sum 'K1 Re1 N3'
_cell_length_a 3.936
_cell_length_b 3.936
_cell_length_c 3.936
_cell_angle_alpha 90.00
_cell_angle_beta 90.00
_cell_angle_gamma 90.00
_symmetry_space_group_name_H-M 'P m -3 m'
_symmetry_Int_Tables_number 221
_symmetry_space_group_name_Hall '-P 4 2 3'
loop_
_atom_site_label
_atom_site_fract_x
_atom_site_fract_y
_atom_site_fract_z
K1 0.000 0.000 0.000
Re1 0.500 0.500 0.500
N1 0.000 0.500 0.500
```



Entry 10:
Compound: AlTlPt
Source: Alexandria
Functional: meta-GGA SCAN
Structure: PBEsol geometry

**Calculated formation energy**: -1.07 eV per formula unit
**Energy relative to the lowest polymorph listed for this composition**: 0 meV/atom
**Total magnetic moment**: 0.0 μB per cell

Structure (CIF):
```
data_AlTlPt
_chemical_formula_sum 'Al2 Tl2 Pt2'
_cell_length_a 3.150
_cell_length_b 3.150
_cell_length_c 11.630
_cell_angle_alpha 90.00
_cell_angle_beta 90.00
_cell_angle_gamma 90.00
_symmetry_space_group_name_H-M 'I 4 m m'
_symmetry_Int_Tables_number 107
_symmetry_space_group_name_Hall 'I 4 -2'
loop_
_atom_site_label
_atom_site_fract_x
_atom_site_fract_y
_atom_site_fract_z
Al1 0.000 0.000 0.000
Tl1 0.000 0.000 0.291
Pt1 0.000 0.000 0.599
```



Entry 11:
Compound: Pr2TlAg
Source: Alexandria
Functional: meta-GGA SCAN
Structure: PBEsol geometry

**Calculated formation energy**: -1.89 eV per formula unit
**Total magnetic moment**: 1.5 μB per cell

Structure (CIF):
```
data_Pr2TlAg
_chemical_formula_sum 'Pr8 Tl4 Ag4'
_cell_length_a 7.587
_cell_length_b 7.587
_cell_length_c 7.587
_cell_angle_alpha 90.00
_cell_angle_beta 90.00
_cell_angle_gamma 90.00
_symmetry_space_group_name_H-M 'F m -3 m'
_symmetry_Int_Tables_number 225
_symmetry_space_group_name_Hall '-F 4 2 3'
loop_
_atom_site_label
_atom_site_fract_x
_atom_site_fract_y
_atom_site_fract_z
Pr1 0.250 0.250 0.250
Tl1 0.000 0.000 0.000
Ag1 0.000 0.000 0.500
```



Entry 12:
Compound: Hf2HgAsCl
Source: Alexandria
Functional: meta-GGA SCAN
Structure: PBEsol geometry

**Raw formation energy**: 1.029 eV/atom
**Total magnetic moment**: 0.0 μB per cell

Structure (CIF):
```
data_Hf2HgAsCl
_chemical_formula_sum 'Hf2 Hg1 As1 Cl1'
_cell_length_a 5.256
_cell_length_b 5.256
_cell_length_c 4.837
_cell_angle_alpha 90.00
_cell_angle_beta 90.00
_cell_angle_gamma 90.00
_symmetry_space_group_name_H-M 'P 4/m m m'
_symmetry_Int_Tables_number 123
_symmetry_space_group_name_Hall '-P 4 2'
loop_
_atom_site_label
_atom_site_fract_x
_atom_site_fract_y
_atom_site_fract_z
Hf1 0.000 0.500 0.000
Hg1 0.000 0.000 0.000
As1 0.500 0.500 0.500
Cl1 0.000 0.000 0.500
```